Ac2Nd2CoPd2 after structural relaxation, computed with GGA-PBE.

Cell: 14.7390 4.0866 7.3615 Å, 90.00 115.24 90.00°
With the nearest neighbours (Å) after each atom.
Fractional positions:
Ac 0.2134 0.0000 0.2344  1 Co 2.87, 2 Pd 3.09
Ac 0.2866 0.5000 0.7656  1 Co 2.87, 2 Pd 3.09
Ac 0.7134 0.5000 0.2344  1 Co 2.87, 2 Pd 3.09
Ac 0.7866 0.0000 0.7656  1 Co 2.87, 2 Pd 3.09
Nd 0.0171 0.5000 0.7566  2 Co 2.80, 2 Pd 3.10
Nd 0.4829 0.0000 0.2434  2 Co 2.80, 2 Pd 3.10
Nd 0.5171 0.0000 0.7566  2 Co 2.80, 2 Pd 3.10
Nd 0.9829 0.5000 0.2434  2 Co 2.80, 2 Pd 3.10
Co 0.0000 0.0000 0.0000  4 Nd 2.80, 2 Ac 2.87
Co 0.5000 0.5000 0.0000  4 Nd 2.80, 2 Ac 2.87
Pd 0.1156 0.0000 0.5640  3 Ac 3.09-3.31, 4 Nd 3.10-3.17, 1 Pd 3.12
Pd 0.3844 0.5000 0.4360  3 Ac 3.09-3.31, 4 Nd 3.10-3.17, 1 Pd 3.12
Pd 0.6156 0.5000 0.5640  3 Ac 3.09-3.31, 4 Nd 3.10-3.17, 1 Pd 3.12
Pd 0.8844 0.0000 0.4360  3 Ac 3.09-3.31, 4 Nd 3.10-3.17, 1 Pd 3.12

Properties
DFT total energy, eV per atom: -5.458
ρ, g cm⁻³: 8.40
Total magnetic moment, μB/f.u.: 0.000
Space group: No. 12


AcNdCoRh after structural relaxation, computed with GGA-PBE.

Cell: 7.2011 7.2011 7.2011 Å, 90.00 90.00 90.00°
With the nearest neighbours (Å) after each atom.
Fractional positions:
Ac 0.0000 0.0000 0.0000  4 Co 3.12, 4 Rh 3.12
Ac 0.0000 0.5000 0.5000  4 Co 3.12, 4 Rh 3.12
Ac 0.5000 0.0000 0.5000  4 Co 3.12, 4 Rh 3.12
Ac 0.5000 0.5000 0.0000  4 Co 3.12, 4 Rh 3.12
Nd 0.0000 0.0000 0.5000  4 Rh 3.12, 4 Co 3.12
Nd 0.0000 0.5000 0.0000  4 Rh 3.12, 4 Co 3.12
Nd 0.5000 0.0000 0.0000  4 Rh 3.12, 4 Co 3.12
Nd 0.5000 0.5000 0.5000  4 Rh 3.12, 4 Co 3.12
Co 0.2500 0.2500 0.2500  4 Nd 3.12, 4 Ac 3.12
Co 0.2500 0.7500 0.7500  4 Nd 3.12, 4 Ac 3.12
Co 0.7500 0.2500 0.7500  4 Nd 3.12, 4 Ac 3.12
Co 0.7500 0.7500 0.2500  4 Nd 3.12, 4 Ac 3.12
Rh 0.2500 0.2500 0.7500  4 Ac 3.12, 4 Nd 3.12
Rh 0.2500 0.7500 0.2500  4 Ac 3.12, 4 Nd 3.12
Rh 0.7500 0.2500 0.2500  4 Ac 3.12, 4 Nd 3.12
Rh 0.7500 0.7500 0.7500  4 Ac 3.12, 4 Nd 3.12

Properties
DFT total energy, eV per atom: -6.037
ρ, g cm⁻³: 9.48
Total magnetic moment, μB/f.u.: 0.605
Space group: No. 216


AcNdCoRu after structural relaxation, computed with GGA-PBE.

Cell: 7.1820 7.1820 7.1820 Å, 90.00 90.00 90.00°
With the nearest neighbours (Å) after each atom.
Fractional positions:
Ac 0.0000 0.0000 0.0000  4 Ru 3.11, 4 Co 3.11
Ac 0.0000 0.5000 0.5000  4 Ru 3.11, 4 Co 3.11
Ac 0.5000 0.0000 0.5000  4 Ru 3.11, 4 Co 3.11
Ac 0.5000 0.5000 0.0000  4 Ru 3.11, 4 Co 3.11
Nd 0.0000 0.0000 0.5000  4 Co 3.11, 4 Ru 3.11
Nd 0.0000 0.5000 0.0000  4 Co 3.11, 4 Ru 3.11
Nd 0.5000 0.0000 0.0000  4 Co 3.11, 4 Ru 3.11
Nd 0.5000 0.5000 0.5000  4 Co 3.11, 4 Ru 3.11
Co 0.2500 0.2500 0.2500  4 Ac 3.11, 4 Nd 3.11
Co 0.2500 0.7500 0.7500  4 Ac 3.11, 4 Nd 3.11
Co 0.7500 0.2500 0.7500  4 Ac 3.11, 4 Nd 3.11
Co 0.7500 0.7500 0.2500  4 Ac 3.11, 4 Nd 3.11
Ru 0.2500 0.2500 0.7500  4 Nd 3.11, 4 Ac 3.11
Ru 0.2500 0.7500 0.2500  4 Nd 3.11, 4 Ac 3.11
Ru 0.7500 0.2500 0.2500  4 Nd 3.11, 4 Ac 3.11
Ru 0.7500 0.7500 0.7500  4 Nd 3.11, 4 Ac 3.11

Properties
DFT total energy, eV per atom: -6.224
ρ, g cm⁻³: 9.53
Total magnetic moment, μB/f.u.: 1.216
Space group: No. 216


Ac6CoNi after structural relaxation, computed with GGA-PBE.

Cell: 7.1863 7.1876 7.9883 Å, 116.73 90.04 119.94°
With the nearest neighbours (Å) after each atom.
Fractional positions:
Ac 0.0862 0.3406 0.2465  1 Co 2.88, 1 Ni 2.96
Ac 0.2451 0.3378 0.7520  1 Co 2.89, 1 Ni 2.96
Ac 0.4090 0.9942 0.2473  1 Co 2.90, 1 Ni 2.96
Ac 0.5910 0.0058 0.7527  1 Co 2.90, 1 Ni 2.96
Ac 0.7549 0.6622 0.2480  1 Co 2.89, 1 Ni 2.96
Ac 0.9138 0.6594 0.7535  1 Co 2.88, 1 Ni 2.96
Co 0.0000 0.5000 0.0000  6 Ac 2.88-2.90
Ni 0.5000 0.5000 0.5000  6 Ac 2.96

Properties
DFT total energy, eV per atom: -4.787
ρ, g cm⁻³: 8.04
Total magnetic moment, μB/f.u.: 0.003
Space group: No. 2


Ac16Co5Ni3 after structural relaxation, computed with GGA-PBE.

Cell: 8.4261 8.4261 13.7433 Å, 90.11 90.11 59.94°
With the nearest neighbours (Å) after each atom.
Fractional positions:
Ac 0.0000 0.0000 0.0000  2 Co 2.85, 1 Ni 2.92
Ac 0.0005 0.0005 0.4989  1 Co 2.83, 2 Ni 2.92
Ac 0.0258 0.4960 0.9859  2 Co 2.89-2.92, 1 Ni 2.96
Ac 0.1648 0.6715 0.7332  2 Co 2.93-2.94, 1 Ni 2.98
Ac 0.1696 0.1696 0.7374  1 Co 2.86, 2 Ni 2.95
Ac 0.3338 0.8323 0.2332  2 Co 2.91-2.93, 1 Ni 2.96
Ac 0.3405 0.3405 0.2246  2 Co 2.87, 1 Ni 2.92
Ac 0.4927 0.4927 0.9855  3 Co 2.91-2.96
Ac 0.4960 0.0258 0.9859  2 Co 2.89-2.92, 1 Ni 2.96
Ac 0.5155 0.5155 0.4845  1 Co 2.87, 2 Ni 2.95
Ac 0.5181 0.9819 0.4836  2 Co 2.91-2.92, 1 Ni 2.97
Ac 0.6715 0.1648 0.7332  2 Co 2.93-2.94, 1 Ni 2.98
Ac 0.6755 0.6755 0.7266  1 Co 2.86, 2 Ni 2.92
Ac 0.8323 0.3338 0.2332  2 Co 2.91-2.93, 1 Ni 2.96
Ac 0.8373 0.8373 0.2297  3 Co 2.93-3.00
Ac 0.9819 0.5181 0.4836  2 Co 2.91-2.92, 1 Ni 2.97
Co 0.1709 0.6699 0.1107  6 Ac 2.85-2.93
Co 0.3346 0.3346 0.8504  6 Ac 2.86-2.96
Co 0.6675 0.6675 0.3523  6 Ac 2.87-3.00
Co 0.6699 0.1709 0.1107  6 Ac 2.85-2.93
Co 0.8373 0.8373 0.6100  6 Ac 2.83-2.93
Ni 0.1699 0.1699 0.1132  6 Ac 2.92-2.96
Ni 0.3374 0.8386 0.6132  6 Ac 2.92-2.98
Ni 0.8386 0.3374 0.6132  6 Ac 2.92-2.98

Properties
DFT total energy, eV per atom: -5.022
ρ, g cm⁻³: 8.07
Total magnetic moment, μB/f.u.: 0.001
Space group: No. 8


Ac4CoNi2 after structural relaxation, computed with GGA-PBE.

Cell: 5.7306 5.7306 13.5178 Å, 90.00 90.00 90.00°
With the nearest neighbours (Å) after each atom.
Fractional positions:
Ac 0.0000 0.0000 0.2094  1 Ni 2.76, 1 Co 2.83
Ac 0.0000 0.0000 0.7906  1 Ni 2.76, 1 Co 2.83
Ac 0.0000 0.5000 0.0000  2 Co 2.87, 4 Ni 3.09
Ac 0.0000 0.5000 0.5000  2 Co 2.87, 4 Ni 3.09
Ac 0.5000 0.0000 0.0000  2 Co 2.87, 4 Ni 3.09
Ac 0.5000 0.0000 0.5000  2 Co 2.87, 4 Ni 3.09
Ac 0.5000 0.5000 0.2906  1 Ni 2.76, 1 Co 2.83
Ac 0.5000 0.5000 0.7094  1 Ni 2.76, 1 Co 2.83
Co 0.0000 0.0000 0.0000  6 Ac 2.83-2.87
Co 0.5000 0.5000 0.5000  6 Ac 2.83-2.87
Ni 0.0000 0.0000 0.4135  1 Ni 2.34
Ni 0.0000 0.0000 0.5865  1 Ni 2.34
Ni 0.5000 0.5000 0.0865  1 Ni 2.34
Ni 0.5000 0.5000 0.9135  1 Ni 2.34

Properties
ρ, g cm⁻³: 8.11
Total magnetic moment, μB/f.u.: 0.000
Space group: No. 139
ΔE to the lowest computed polymorph, eV per atom: 0.1494


AcCoNi after structural relaxation, computed with GGA-PBE.

Cell: 4.0733 7.0504 8.5904 Å, 90.00 90.00 90.00°
With the nearest neighbours (Å) after each atom.
Fractional positions:
Ac 0.0000 0.0000 0.2486  6 Ni 3.17-3.19, 6 Co 3.18-3.21
Ac 0.0000 0.0000 0.7514  6 Ni 3.17-3.19, 6 Co 3.18-3.21
Ac 0.5000 0.5000 0.2514  6 Ni 3.17-3.19, 6 Co 3.18-3.21
Ac 0.5000 0.5000 0.7486  6 Ni 3.17-3.19, 6 Co 3.18-3.21
Co 0.0000 0.3396 0.0000  1 Co 2.26, 2 Ni 2.36
Co 0.0000 0.6604 0.0000  1 Co 2.26, 2 Ni 2.36
Co 0.5000 0.1604 0.5000  1 Co 2.26, 2 Ni 2.36
Co 0.5000 0.8396 0.5000  1 Co 2.26, 2 Ni 2.36
Ni 0.0000 0.3285 0.5000  2 Co 2.36, 1 Ni 2.42
Ni 0.0000 0.6715 0.5000  2 Co 2.36, 1 Ni 2.42
Ni 0.5000 0.1715 0.0000  2 Co 2.36, 1 Ni 2.42
Ni 0.5000 0.8285 0.0000  2 Co 2.36, 1 Ni 2.42

Properties
ρ, g cm⁻³: 9.28
Total magnetic moment, μB/f.u.: 0.299
Space group: No. 71
ΔE to the lowest computed polymorph, eV per atom: 0.0000


AcCoNi after structural relaxation, computed with GGA-PBE.

Cell: 4.0789 4.0789 4.2617 Å, 90.00 90.00 120.00°
With the nearest neighbours (Å) after each atom.
Fractional positions:
Ac 0.0000 0.0000 0.0000  6 Co 3.18, 6 Ni 3.18
Co 0.3333 0.6667 0.5000  3 Ni 2.35
Ni 0.6667 0.3333 0.5000  3 Co 2.35

Properties
ρ, g cm⁻³: 9.32
Total magnetic moment, μB/f.u.: 0.166
Space group: No. 187
ΔE to the lowest computed polymorph, eV per atom: 0.0158


Ac8Co3Ni2 after structural relaxation, computed with GGA-PBE.

Cell: 8.7112 8.7112 7.1015 Å, 106.01 106.01 56.37°
With the nearest neighbours (Å) after each atom.
Fractional positions:
Ac 0.1102 0.1102 0.4034  2 Co 2.83, 1 Ni 3.03
Ac 0.1419 0.6217 0.0940  2 Co 2.89-2.90, 2 Ni 3.06-3.07
Ac 0.3783 0.8581 0.9060  2 Co 2.89-2.90, 2 Ni 3.06-3.07
Ac 0.3881 0.3881 0.5842  3 Co 2.91, 1 Ni 3.12
Ac 0.6119 0.6119 0.4158  3 Co 2.91, 1 Ni 3.12
Ac 0.6217 0.1419 0.0940  2 Co 2.89-2.90, 2 Ni 3.06-3.07
Ac 0.8581 0.3783 0.9060  2 Co 2.89-2.90, 2 Ni 3.06-3.07
Ac 0.8898 0.8898 0.5966  2 Co 2.83, 1 Ni 3.03
Co 0.2412 0.7588 0.5000  6 Ac 2.83-2.91
Co 0.5000 0.5000 0.0000  6 Ac 2.90-2.91
Co 0.7588 0.2412 0.5000  6 Ac 2.83-2.91
Ni 0.2424 0.2424 0.1643  6 Ac 3.03-3.12
Ni 0.7576 0.7576 0.8357  6 Ac 3.03-3.12

Properties
DFT total energy, eV per atom: -5.090
ρ, g cm⁻³: 8.22
Total magnetic moment, μB/f.u.: 0.000
Space group: No. 12


Ac8Co2Ni after structural relaxation, computed with GGA-PBE.

Cell: 8.2489 8.2489 5.9656 Å, 90.87 90.87 83.65°
With the nearest neighbours (Å) after each atom.
Fractional positions:
Ac 0.1027 0.1027 0.2446  1 Co 2.74
Ac 0.1379 0.6191 0.2800  1 Co 2.75
Ac 0.3504 0.3504 0.8270  1 Ni 2.71, 2 Co 2.98-3.03
Ac 0.3809 0.8621 0.7200  1 Co 2.75
Ac 0.6191 0.1379 0.2800  1 Co 2.75
Ac 0.6496 0.6496 0.1730  1 Ni 2.71, 2 Co 2.98-3.03
Ac 0.8621 0.3809 0.7200  1 Co 2.75
Ac 0.8973 0.8973 0.7554  1 Co 2.74
Co 0.3225 0.3225 0.3301  1 Ni 2.39
Co 0.6775 0.6775 0.6699  1 Ni 2.39
Ni 0.5000 0.5000 0.5000  2 Co 2.39

Properties
DFT total energy, eV per atom: -4.763
ρ, g cm⁻³: 8.20
Total magnetic moment, μB/f.u.: 0.000
Space group: No. 12


- Look up the total magnetic moment of the ninth one.
  0.000 μB/f.u.